(1)
Here is MnCoRe2 after structural relaxation from Alexandria. Energies are from PBE.

a = 3.749 Å, b = 3.749 Å, c = 3.684 Å
α = 90.00°, β = 90.00°, γ = 90.00°
Site moments in Bohr magnetons follow the coordinates.
Element x y z (fractional)
Co 0.500 0.000 0.500  -0.59
Re 0.500 0.500 0.000  -0.20
Mn 0.000 0.500 0.500  1.50
Re 0.000 0.000 0.000  -0.20

Computed properties:
Formation energy from the elements   0.02 eV/atom
Energy above the lowest structure with this stoichiometry   33 meV per atom
D(E_F)   3.02 states/eV per cell

***

(2)
Here is MnCoRe2 after structural relaxation from Alexandria. Energies are from PBE.

a = 4.251 Å, b = 2.652 Å, c = 4.549 Å
α = 90.00°, β = 90.00°, γ = 90.00°
Site moments in Bohr magnetons follow the coordinates.
Element x y z (fractional)
Mn 0.500 0.625 0.791  1.02
Re 0.500 0.125 0.302  -0.06
Re 0.000 0.125 0.950  -0.10
Co 0.000 0.625 0.457  0.03

Computed properties:
Formation energy from the elements   -0.02 eV/atom
Energy above the lowest structure with this stoichiometry   0 meV per atom
D(E_F)   3.60 states/eV per cell

***

(3)
Here is MnCoRe3 after structural relaxation from Alexandria. Energies are from PBE.

a = 4.364 Å, b = 4.364 Å, c = 4.364 Å
α = 90.00°, β = 90.00°, γ = 90.00°
Element x y z (fractional)
Re 0.000 0.500 0.000
Re 0.000 0.000 0.500
Re 0.500 0.000 0.000
Co 0.500 0.500 0.500
Mn 0.000 0.000 0.000

Computed properties:
Formation energy from the elements   1.74 eV/atom
Energy above the lowest structure with this stoichiometry   0 meV per atom
D(E_F)   6.75 states/eV per cell

***

(4)
Here is MnCoRe2 after structural relaxation from Alexandria. Energies are from PBE.

a = 8.642 Å, b = 8.642 Å, c = 8.642 Å
α = 17.75°, β = 17.75°, γ = 17.75°
Element x y z (fractional)
Re 0.000 0.000 0.000
Co 0.250 0.250 0.250
Re 0.500 0.500 0.500
Mn 0.750 0.750 0.750

Computed properties:
Formation energy from the elements   0.14 eV/atom
Energy above the lowest structure with this stoichiometry   155 meV per atom
D(E_F)   2.72 states/eV per cell

***

Number 1: raw total energy -10.278 eV per atom, magnetization 0.5 μB per cell, theoretical density 15.6 Mg/m³. Number 2: raw total energy -10.311 eV per atom, magnetization 0.9 μB per cell, theoretical density 15.7 Mg/m³. Number 3: raw total energy -8.987 eV per atom, magnetization 0.0 μB per cell, theoretical density 13.4 Mg/m³. Number 4: raw total energy -10.155 eV per atom, magnetization 0.0 μB per cell, theoretical density 15.4 Mg/m³.